# Nd3DyTm12

A geometry-optimized Nd3DyTm12 structure (PBE, Alexandria via LeMat-Bulk).

The structure belongs to space group P4/mmm (No. 123); the cell edges are 4.987, 4.987 and 19.961 Å and the angles 90.00°, 90.00° and 90.00°. Symmetry generates all atoms from Nd at (0.000, 0.000, 0.000), Nd at (0.000, 0.000, 0.251), Dy at (0.000, 0.000, 0.500), Tm at (0.000, 0.500, 0.126), Tm at (0.000, 0.500, 0.377), Tm at (0.500, 0.500, 0.000), Tm at (0.500, 0.500, 0.251) and Tm at (0.500, 0.500, 0.500).

For the size of the total moment, the calculation gives 0.0 μB per cell. The value obtained for the formation energy is 0.027 eV per atom.

=====

# Tb2Nd3DyAs6

A geometry-optimized Tb2Nd3DyAs6 structure (PBE, Alexandria via LeMat-Bulk).

The structure belongs to space group C2/m (No. 12); the cell edges are 7.281, 12.609 and 7.278 Å and the angles 90.00°, 109.45° and 90.00°. Symmetry generates all atoms from Tb at (0.000, 0.167, 0.000), Nd at (0.000, 0.000, 0.500), Nd at (0.000, 0.333, 0.500), Dy at (0.000, 0.500, 0.000), As at (0.247, 0.334, 0.241) and As at (0.248, 0.000, 0.242).

For the size of the total moment, the calculation gives 0.0 μB per cell. The value obtained for the formation energy is -1.521 eV per atom.

=====

# PmTm2Te3

A geometry-optimized PmTm2Te3 structure (PBE, Alexandria via LeMat-Bulk).

The structure belongs to space group Pmc2_1 (No. 26); the cell edges are 4.155, 11.464 and 7.445 Å and the angles 90.00°, 90.00° and 90.00°. Symmetry generates all atoms from Pm at (0.000, 0.127, 0.000), Tm at (0.000, 0.205, 0.486), Tm at (0.500, 0.486, 0.500), Te at (0.000, 0.386, 0.770), Te at (0.500, 0.059, 0.679) and Te at (0.500, 0.289, 0.221).

The value obtained for the relative energy among the computed polymorphs is 30 meV/atom. For the size of the total moment, the calculation gives 0.0 μB per cell. Its uncorrected formation energy is -7.3 eV/f.u.

=====

# KScAsC2

A geometry-optimized KScAsC2 structure (PBE, Alexandria via LeMat-Bulk).

The structure belongs to space group P4/mmm (No. 123); the cell edges are 4.507, 4.507 and 5.114 Å and the angles 90.00°, 90.00° and 90.00°. Symmetry generates all atoms from K at (0.000, 0.000, 0.000), Sc at (0.500, 0.500, 0.500), As at (0.500, 0.500, 0.000) and C at (0.000, 0.500, 0.500).

For the size of the total moment, the calculation gives 0.0 μB per cell. The value obtained for the formation energy is 1.338 eV per atom.

=====

# PrTaBeIr2

A geometry-optimized PrTaBeIr2 structure (PBE, Alexandria via LeMat-Bulk).

The structure belongs to space group I-4m2 (No. 119); the cell edges are 4.016, 4.016 and 11.678 Å and the angles 90.00°, 90.00° and 90.00°. Symmetry generates all atoms from Pr at (0.000, 0.000, 0.000), Ta at (0.000, 0.500, 0.750), Be at (0.000, 0.500, 0.250) and Ir at (0.000, 0.000, 0.382).

For the size of the total moment, the calculation gives 0.0 μB per cell. The value obtained for the formation energy is -0.519 eV per atom.

=====

# Pm3Pr4Dy

A geometry-optimized Pm3Pr4Dy structure (PBE, Alexandria via LeMat-Bulk).

The structure belongs to space group Pmn2_1 (No. 31); the cell edges are 11.886, 7.406 and 6.399 Å and the angles 90.00°, 90.00° and 90.00°. Symmetry generates all atoms from Pm at (0.000, 0.123, 0.000), Pm at (0.250, 0.123, 0.331), Pr at (0.000, 0.373, 0.500), Pr at (0.000, 0.626, 0.996), Pr at (0.248, 0.628, 0.333) and Dy at (0.000, 0.878, 0.499).

The value obtained for the relative energy among the computed polymorphs is 0 meV/atom. For the size of the total moment, the calculation gives 0.0 μB per cell. The value obtained for the formation energy is 0.033 eV per atom.

=====

V / Å³/atom: 31.03 26.25 29.55 20.78 18.83 35.20